No. 1
## LiCe2Cd (PBE)

Data for crystalline LiCe2Cd at its relaxed geometry.

## Properties
Energy above the lowest structure with this stoichiometry   0.0000 eV per atom
Total magnetization   1.1 μB/f.u.
ΔH_f (0 K)   2 meV per atom

```
data_LiCe2Cd
_chemical_formula_sum 'Li1 Ce2 Cd1'
_symmetry_space_group_name_H-M 'P 4/m m m'
_symmetry_Int_Tables_number 123
_symmetry_space_group_name_Hall '-P 4 2'
_cell_length_a 4.291
_cell_length_b 4.291
_cell_length_c 5.132
_cell_angle_alpha 90.00
_cell_angle_beta 90.00
_cell_angle_gamma 90.00
loop_
_atom_site_label
_atom_site_fract_x
_atom_site_fract_y
_atom_site_fract_z
_atom_site_occupancy
Li1 0.000 0.000 0.000 1
Ce1 0.000 0.500 0.500 1
Cd1 0.500 0.500 0.000 1
```

***

No. 2
## Er5Sn2Ru (PBE)

Data for crystalline Er5Sn2Ru at its relaxed geometry.

## Properties
Total magnetization   0.0 μB/f.u.
ΔH_f (0 K)   -125 meV per atom

```
data_Er5Sn2Ru
_chemical_formula_sum 'Er20 Sn8 Ru4'
_symmetry_space_group_name_H-M 'C m c m'
_symmetry_Int_Tables_number 63
_symmetry_space_group_name_Hall '-C 2c 2'
_cell_length_a 5.577
_cell_length_b 15.492
_cell_length_c 13.494
_cell_angle_alpha 90.00
_cell_angle_beta 90.00
_cell_angle_gamma 90.00
loop_
_atom_site_label
_atom_site_fract_x
_atom_site_fract_y
_atom_site_fract_z
_atom_site_occupancy
Er1 0.000 0.052 0.117 1
Er2 0.000 0.283 0.095 1
Er3 0.000 0.291 0.750 1
Sn1 0.000 0.143 0.582 1
Ru1 0.000 0.174 0.250 1
```

***

No. 3
## LaAlNi2 (PBE)

Data for crystalline LaAlNi2 at its relaxed geometry.

## Properties
Total magnetization   0.0 μB/f.u.
ΔH_f (0 K)   -169 meV per atom

```
data_LaAlNi2
_chemical_formula_sum 'La4 Al4 Ni8'
_symmetry_space_group_name_H-M 'I -4 2 d'
_symmetry_Int_Tables_number 122
_symmetry_space_group_name_Hall 'I -4 2bw'
_cell_length_a 4.612
_cell_length_b 4.612
_cell_length_c 16.016
_cell_angle_alpha 90.00
_cell_angle_beta 90.00
_cell_angle_gamma 90.00
loop_
_atom_site_label
_atom_site_fract_x
_atom_site_fract_y
_atom_site_fract_z
_atom_site_occupancy
La1 0.000 0.000 0.000 1
Al1 0.000 0.000 0.500 1
Ni1 0.043 0.250 0.625 1
```

***

No. 4
## Y2BeInN (PBE)

Data for crystalline Y2BeInN at its relaxed geometry.

## Properties
Formation energy (no corrections)   -689 meV per atom
Total magnetization   0.0 μB/f.u.

```
data_Y2BeInN
_chemical_formula_sum 'Y2 Be1 In1 N1'
_symmetry_space_group_name_H-M 'P 4/m m m'
_symmetry_Int_Tables_number 123
_symmetry_space_group_name_Hall '-P 4 2'
_cell_length_a 5.114
_cell_length_b 5.114
_cell_length_c 3.522
_cell_angle_alpha 90.00
_cell_angle_beta 90.00
_cell_angle_gamma 90.00
loop_
_atom_site_label
_atom_site_fract_x
_atom_site_fract_y
_atom_site_fract_z
_atom_site_occupancy
Y1 0.000 0.500 0.000 1
Be1 0.000 0.000 0.500 1
In1 0.500 0.500 0.500 1
N1 0.000 0.000 0.000 1
```